Here is Sm2YAlC after structural relaxation from the Open Quantum Materials Database. Energies are from PBE-GGA.

Properties
As for the space group: P4/mmm, No. 123. For the total energy, the calculation gives -0.22350 Ha/atom.

a b c (Å): 5.019 5.019 4.898
angles (deg): 90.00 90.00 90.00
Fractional positions:
Al: 0.000 0.000 0.000
C: 0.500 0.500 0.500
Sm: 0.500 0.000 0.500
Sm: 0.000 0.500 0.500
Y: 0.500 0.500 0.000

***

Here is SmY2AlC after structural relaxation from the Open Quantum Materials Database. Energies are from PBE-GGA.

Properties
As for the space group: P4/mmm, No. 123. For the total energy, the calculation gives -0.23834 Ha/atom.

a b c (Å): 4.894 4.894 5.014
angles (deg): 90.00 90.00 90.00
Fractional positions:
Al: 0.000 0.000 0.000
C: 0.500 0.500 0.500
Sm: 0.500 0.500 0.000
Y: 0.500 0.000 0.500
Y: 0.000 0.500 0.500